The following is a DFT calculation (PBE) of an optimized crystal structure of Y2TcHg.

As for the total magnetization: 4.24 μB per cell. The formation energy is 0.5841 eV per atom. The density of states at the Fermi level comes out at 3.10 states/eV/f.u.

The space group is I-42d (No. 122) and the conventional cell measures 4.5652, 4.5652 and 19.4942 Å, with angles of 90.00, 90.00 and 90.00 degrees. The asymmetric unit holds Y at (0.2327, 0.2500, 0.1250), Tc at (0.0000, 0.0000, 0.0000) and Hg at (0.0000, 0.0000, 0.5000).